Record 1
Entry from Alexandria via LeMat-Bulk: an optimized crystal structure of PrSmHgIr (GGA-PBE).

Geometry as POSCAR:
```
PrSmHgIr
1.0
-3.298 -1.882 -3.544
-4.668 -1.746 1.465
-4.279 2.670 -1.243
Pr Ir Sm Hg
1 1 1 1
direct
0.250 0.250 0.250
0.000 0.000 0.000
0.750 0.750 0.750
0.500 0.500 0.500
```

Calculated values
Polymorph energy (0 for the lowest one) (meV/atom): 0
Raw total energy (eV per atom): -5.17
D(E_F) (states/eV per cell): 2.59
Space-group type: No. 216
ΔE_f (kJ/mol of atoms): -48.22

Record 2
Entry from Alexandria via LeMat-Bulk: an optimized crystal structure of SrPrHgIr (GGA-PBE).

Geometry as POSCAR:
```
SrPrHgIr
1.0
5.271 0.000 0.000
2.636 4.565 0.000
2.636 1.522 4.304
Pr Ir Hg Sr
1 1 1 1
direct
0.000 0.000 0.000
0.750 0.750 0.750
0.250 0.250 0.250
0.500 0.500 0.500
```

Calculated values
Raw total energy (eV per atom): -4.23
D(E_F) (states/eV per cell): 3.85
Space-group type: No. 216
ΔE_f (kJ/mol of atoms): -31.31

Record 3
Entry from Alexandria via LeMat-Bulk: an optimized crystal structure of TbPrHgIr (GGA-PBE).

Geometry as POSCAR:
```
TbPrHgIr
1.0
-2.952 -1.637 3.896
1.733 -3.665 3.184
1.252 1.187 4.858
Hg Tb Pr Ir
1 1 1 1
direct
0.000 0.000 0.000
0.750 0.750 0.750
0.250 0.250 0.250
0.500 0.500 0.500
```

Calculated values
Raw total energy (eV per atom): -5.17
D(E_F) (states/eV per cell): 2.93
Space-group type: No. 216
ΔE_f (kJ/mol of atoms): -50.65